Record 1
{
  "formula": "Mn2PCl",
  "functional": "GGA-PBE",
  "state": "optimized geometry",
  "relative_energy_mev_per_atom": 564,
  "e_form_raw_mev_per_atom": 161,
  "lattice_angstrom": [[0.0000, 3.0360, 3.0360], [3.0360, 0.0000, 3.0360], [3.0360, 3.0360, 0.0000]],
  "species": ["P", "Mn", "Mn", "Cl"],
  "fractional_positions": [[0.0000, 0.0000, 0.0000], [0.2500, 0.2500, 0.2500], [0.7500, 0.7500, 0.7500], [0.5000, 0.5000, 0.5000]]
}



Record 2
{
  "formula": "Mn2PCl",
  "functional": "GGA-PBE",
  "state": "optimized geometry",
  "relative_energy_mev_per_atom": 172,
  "e_form_raw_mev_per_atom": -230,
  "lattice_angstrom": [[7.0408, 0.0413, 0.0061], [5.5251, 4.3643, -0.0061], [-6.2941, -2.1709, 2.2903]],
  "species": ["Cl", "Mn", "Mn", "P"],
  "fractional_positions": [[0.2821, 0.7821, 0.5000], [0.9945, 0.9945, 0.0000], [0.6790, 0.1790, 0.5000], [0.5443, 0.5443, 0.0000]]
}